No. 1
A plane-wave DFT calculation with PBE was carried out for crystalline Pm3CdHg5 at its relaxed geometry.

Cell lengths 9.1383, 9.1383, 6.4401 Å; angles 90.00, 90.00, 120.00 degrees
Positions (direct):
Pm1 0.0000 0.3477 0.2500
Pm2 0.0000 0.6523 0.7500
Pm3 0.3477 0.0000 0.2500
Pm4 0.3477 0.3477 0.7500
Pm5 0.6523 0.0000 0.7500
Pm6 0.6523 0.6523 0.2500
Cd1 0.0000 0.0000 0.0000
Cd2 0.0000 0.0000 0.5000
Hg1 0.0000 0.3164 0.7500
Hg2 0.0000 0.6836 0.2500
Hg3 0.3164 0.0000 0.7500
Hg4 0.3164 0.3164 0.2500
Hg5 0.3333 0.6667 0.0000
Hg6 0.3333 0.6667 0.5000
Hg7 0.6667 0.3333 0.0000
Hg8 0.6667 0.3333 0.5000
Hg9 0.6836 0.0000 0.2500
Hg10 0.6836 0.6836 0.7500

Calculated values
Calculated formation energy in eV/atom: -0.44
E in eV/atom: -2.2931
Density of states at the Fermi level in states/eV/cell: 12.31

=====

No. 2
A plane-wave DFT calculation with PBE was carried out for crystalline Pm3Cd2Hg2 at its relaxed geometry.

Cell lengths 5.1882, 5.3314, 8.8115 Å; angles 101.93, 90.15, 118.63 degrees
Positions (direct):
Pm1 0.0000 0.0000 0.0000
Pm2 0.2774 0.5600 0.7054
Pm3 0.7226 0.4400 0.2946
Cd1 0.3594 0.7159 0.1321
Cd2 0.6406 0.2841 0.8679
Hg1 0.0674 0.1233 0.3613
Hg2 0.9326 0.8767 0.6387

Calculated values
Calculated formation energy in eV/atom: -0.27
E in eV/atom: -2.6534
Density of states at the Fermi level in states/eV/cell: 6.61

=====

- Among the records above, which one has the highest density of states at the Fermi level?
  Pm3CdHg5

=====

- Among the records above, which one has the lowest density of states at the Fermi level?
  Pm3Cd2Hg2

=====

- Look up the density of states at the Fermi level of the second one.
  6.61 states/eV/cell

=====

- The highest density of states at the Fermi level belongs to which entry?
  Pm3CdHg5